The following is a GGA-PBE calculation of an optimized crystal structure of V2ZnReAu, from Alexandria via LeMat-Bulk.

Calculated formation energy = 1.9701 eV/atom

a = 4.6809 Å, b = 4.6809 Å, c = 4.8776 Å
α = 90.00°, β = 90.00°, γ = 90.00°
Closest atoms and distances in Å follow each position.
Element x y z (fractional)
1 V 0.0000 0.5000 0.0000  2 Au 2.34
2 V 0.5000 0.0000 0.0000  2 Au 2.34
3 Zn 0.0000 0.0000 0.5000  4 Re 3.31, 8 V 3.38
4 Re 0.5000 0.5000 0.5000  2 Au 2.44
5 Au 0.5000 0.5000 0.0000  4 V 2.34, 2 Re 2.44

---

The following is a GGA-PBE calculation of an optimized crystal structure of Sc5BeCu4, from Alexandria via LeMat-Bulk.

Calculated formation energy = -0.2345 eV/atom

a = 3.2278 Å, b = 3.2278 Å, c = 16.3309 Å
α = 90.00°, β = 90.00°, γ = 90.00°
Closest atoms and distances in Å follow each position.
Element x y z (fractional)
1 Sc 0.0000 0.0000 0.0000  8 Cu 2.81
2 Sc 0.0000 0.0000 0.2029  8 Cu 2.83
3 Sc 0.0000 0.0000 0.4047  4 Be 2.76, 4 Cu 2.80
4 Sc 0.0000 0.0000 0.5953  4 Be 2.76, 4 Cu 2.80
5 Sc 0.0000 0.0000 0.7971  8 Cu 2.83
6 Be 0.5000 0.5000 0.5000  8 Sc 2.76
7 Cu 0.5000 0.5000 0.1008  8 Sc 2.81-2.83
8 Cu 0.5000 0.5000 0.3050  8 Sc 2.80-2.83
9 Cu 0.5000 0.5000 0.6950  8 Sc 2.80-2.83
10 Cu 0.5000 0.5000 0.8992  8 Sc 2.81-2.83

---

The following is a GGA-PBE calculation of an optimized crystal structure of CaZn11Ge, from Alexandria via LeMat-Bulk.

Calculated formation energy = -0.0836 eV/atom

a = 6.8729 Å, b = 6.8729 Å, c = 6.8921 Å
α = 98.59°, β = 98.59°, γ = 134.30°
Closest atoms and distances in Å follow each position.
Element x y z (fractional)
1 Ca 0.0000 0.0000 0.0000  18 Zn 3.21-3.45, 2 Ge 3.45
2 Zn 0.0000 0.5000 0.0000  10 Zn 2.58-2.80
3 Zn 0.0121 0.3748 0.3525  6 Zn 2.56-2.83, 1 Ge 2.86
4 Zn 0.2933 0.5120 0.7868  7 Zn 2.58-2.83, 1 Ge 2.68
5 Zn 0.3748 0.0121 0.3525  6 Zn 2.56-2.83, 1 Ge 2.86
6 Zn 0.4880 0.7067 0.2132  7 Zn 2.58-2.83, 1 Ge 2.68
7 Zn 0.5000 0.0000 0.0000  10 Zn 2.58-2.80
8 Zn 0.5000 0.5000 0.5000  8 Zn 2.62-2.78, 2 Ge 2.67
9 Zn 0.5120 0.2933 0.7868  7 Zn 2.58-2.83, 1 Ge 2.68
10 Zn 0.6252 0.9879 0.6475  6 Zn 2.56-2.83, 1 Ge 2.86
11 Zn 0.7067 0.4880 0.2132  7 Zn 2.58-2.83, 1 Ge 2.68
12 Zn 0.9879 0.6252 0.6475  6 Zn 2.56-2.83, 1 Ge 2.86
13 Ge 0.0000 0.0000 0.5000  10 Zn 2.67-2.86

---

The following is a GGA-PBE calculation of an optimized crystal structure of NaThPb2, from Alexandria via LeMat-Bulk.

Energy above the lowest structure with this stoichiometry = 0 meV/atom
Calculated formation energy = -0.2221 eV/atom

a = 3.5197 Å, b = 3.5197 Å, c = 9.5997 Å
α = 90.00°, β = 90.00°, γ = 90.00°
Closest atoms and distances in Å follow each position.
Element x y z (fractional)
1 Na 0.0000 0.0000 0.0000  8 Pb 3.43, 4 Na 3.52
2 Th 0.0000 0.0000 0.5000  8 Pb 3.48, 4 Th 3.52
3 Pb 0.5000 0.5000 0.2459  4 Na 3.43, 4 Th 3.48, 4 Pb 3.52
4 Pb 0.5000 0.5000 0.7541  4 Na 3.43, 4 Th 3.48, 4 Pb 3.52

---

The following is a GGA-PBE calculation of an optimized crystal structure of Tm2BiTe, from Alexandria via LeMat-Bulk.

ΔE_f (raw) = -751 meV/atom
Energy above the lowest structure with this stoichiometry = 243 meV/atom

a = 6.1127 Å, b = 5.2440 Å, c = 9.0970 Å
α = 90.00°, β = 90.00°, γ = 90.00°
Closest atoms and distances in Å follow each position.
Element x y z (fractional)
1 Tm 0.0000 0.0000 0.0000  3 Bi 3.03, 2 Te 3.06
2 Tm 0.0000 0.5000 0.5000  3 Bi 3.03, 2 Te 3.06
3 Tm 0.5000 0.0000 0.3334  3 Te 3.03, 2 Bi 3.06
4 Tm 0.5000 0.5000 0.8334  3 Te 3.03, 2 Bi 3.06
5 Bi 0.0000 0.0000 0.3331  5 Tm 3.03-3.06
6 Bi 0.0000 0.5000 0.8331  5 Tm 3.03-3.06
7 Te 0.5000 0.0000 0.0003  5 Tm 3.03-3.06
8 Te 0.5000 0.5000 0.5003  5 Tm 3.03-3.06

---

The following is a GGA-PBE calculation of an optimized crystal structure of GeSb3Te, from Alexandria via LeMat-Bulk.

ΔE_f (raw) = 1011 meV/atom
Energy above the lowest structure with this stoichiometry = 389 meV/atom

a = 5.6928 Å, b = 5.6928 Å, c = 5.6928 Å
α = 90.00°, β = 90.00°, γ = 90.00°
Closest atoms and distances in Å follow each position.
Element x y z (fractional)
1 Ge 0.0000 0.0000 0.0000  12 Sb 4.03
2 Sb 0.0000 0.5000 0.5000  2 Te 2.85
3 Sb 0.5000 0.0000 0.5000  2 Te 2.85
4 Sb 0.5000 0.5000 0.0000  2 Te 2.85
5 Te 0.5000 0.5000 0.5000  6 Sb 2.85